The following is a PBE calculation of crystalline TiV2Fe2 at its relaxed geometry, from Alexandria.

Cell lengths 6.9680, 6.9680, 2.6511 Å; angles 90.00, 90.00, 90.00 degrees
With the nearest neighbours (Å) after each atom.
Fractional positions:
Ti 0.0000 0.0000 0.0000  2 Ti 2.65, 4 V 2.66
Ti 0.5000 0.5000 0.0000  2 Ti 2.65, 4 V 2.66
V 0.1491 0.3509 0.0000  6 Fe 2.40-2.46, 2 V 2.65, 2 Ti 2.66
V 0.3509 0.8509 0.0000  6 Fe 2.40-2.46, 2 V 2.65, 2 Ti 2.66
V 0.6491 0.1491 0.0000  6 Fe 2.40-2.46, 2 V 2.65, 2 Ti 2.66
V 0.8509 0.6491 0.0000  6 Fe 2.40-2.46, 2 V 2.65, 2 Ti 2.66
Fe 0.1475 0.6475 0.5000  6 V 2.40-2.46, 2 Fe 2.65
Fe 0.3525 0.1475 0.5000  6 V 2.40-2.46, 2 Fe 2.65
Fe 0.6475 0.8525 0.5000  6 V 2.40-2.46, 2 Fe 2.65
Fe 0.8525 0.3525 0.5000  6 V 2.40-2.46, 2 Fe 2.65

Output
For the total energy, the calculation gives -0.316 hartree per atom. As for the formation energy: 0.0043 eV per atom. The energy above the most stable polymorph in this dataset comes out at 13.1 meV per atom. The value obtained for the density of states at the Fermi level is 7.72 states/eV/f.u.